# GGA-PBE Sc2RhW, relaxed
# excess energy over the best structure of this formula in the dataset: 135 meV/atom
# calculated formation energy: -0.4 eV per formula unit
# E_tot: -8.34 eV/atom
# total magnetic moment: 0.00 μB/cell
data_Sc2RhW
_space_group_name_H-M_alt 'P 1 m 1'
_space_group_IT_number 6
_space_group_name_Hall 'P -2y'
_cell_length_a 2.951
_cell_length_b 4.576
_cell_length_c 5.453
_cell_angle_alpha 90.00
_cell_angle_beta 103.67
_cell_angle_gamma 90.00
loop_
_atom_site_label
_atom_site_type_symbol
_atom_site_fract_x
_atom_site_fract_y
_atom_site_fract_z
Sc1 Sc 0.000 0.000 0.000
Sc2 Sc 0.250 0.500 0.703
Rh1 Rh 0.528 0.000 0.474
W1 W 0.677 0.500 0.231



# GGA-PBE Sc2Rh4W, relaxed
# calculated formation energy: 1.9 eV per formula unit
# E_tot: -7.59 eV/atom
# total magnetic moment: 0.00 μB/cell
data_Sc2Rh4W
_space_group_name_H-M_alt 'I 4/m m m'
_space_group_IT_number 139
_space_group_name_Hall '-I 4 2'
_cell_length_a 4.714
_cell_length_b 4.714
_cell_length_c 12.948
_cell_angle_alpha 90.00
_cell_angle_beta 90.00
_cell_angle_gamma 90.00
loop_
_atom_site_label
_atom_site_type_symbol
_atom_site_fract_x
_atom_site_fract_y
_atom_site_fract_z
Sc1 Sc 0.000 0.000 0.130
Rh1 Rh 0.000 0.000 0.312
Rh2 Rh 0.000 0.500 0.000
W1 W 0.000 0.000 0.500



# GGA-PBE ScRhW2, relaxed
# excess energy over the best structure of this formula in the dataset: 357 meV/atom
# calculated formation energy: 0.9 eV per formula unit
# E_tot: -9.67 eV/atom
# total magnetic moment: 0.00 μB/cell
data_ScRhW2
_space_group_name_H-M_alt 'R -3 m'
_space_group_IT_number 166
_space_group_name_Hall '-R 3 2"'
_cell_length_a 2.8793
_cell_length_b 2.8793
_cell_length_c 28.0557
_cell_angle_alpha 90.00
_cell_angle_beta 90.00
_cell_angle_gamma 120.00
loop_
_atom_site_label
_atom_site_type_symbol
_atom_site_fract_x
_atom_site_fract_y
_atom_site_fract_z
Sc1 Sc 0.0000 0.0000 0.0000
Rh1 Rh 0.0000 0.0000 0.5000
W1 W 0.0000 0.0000 0.2447



# GGA-PBE ScRhW2, relaxed
# excess energy over the best structure of this formula in the dataset: 0 meV/atom
# calculated formation energy: -0.5 eV per formula unit
# E_tot: -10.03 eV/atom
# total magnetic moment: 0.00 μB/cell
data_ScRhW2
_space_group_name_H-M_alt 'P 4 m m'
_space_group_IT_number 99
_space_group_name_Hall 'P 4 -2'
_cell_length_a 3.211
_cell_length_b 3.211
_cell_length_c 6.463
_cell_angle_alpha 90.00
_cell_angle_beta 90.00
_cell_angle_gamma 90.00
loop_
_atom_site_label
_atom_site_type_symbol
_atom_site_fract_x
_atom_site_fract_y
_atom_site_fract_z
Sc1 Sc 0.000 0.000 0.000
Rh1 Rh 0.500 0.500 0.752
W1 W 0.000 0.000 0.494
W2 W 0.500 0.500 0.278



# GGA-PBE Sc2RhW, relaxed
# excess energy over the best structure of this formula in the dataset: 179 meV/atom
# calculated formation energy: -0.2 eV per formula unit
# E_tot: -8.30 eV/atom
# total magnetic moment: 0.00 μB/cell
data_Sc2RhW
_space_group_name_H-M_alt 'I m m m'
_space_group_IT_number 71
_space_group_name_Hall '-I 2 2'
_cell_length_a 3.144
_cell_length_b 4.961
_cell_length_c 9.032
_cell_angle_alpha 90.00
_cell_angle_beta 90.00
_cell_angle_gamma 90.00
loop_
_atom_site_label
_atom_site_type_symbol
_atom_site_fract_x
_atom_site_fract_y
_atom_site_fract_z
Sc1 Sc 0.000 0.000 0.233
Rh1 Rh 0.000 0.500 0.500
W1 W 0.000 0.500 0.000



# GGA-PBE Sc2RhW, relaxed
# excess energy over the best structure of this formula in the dataset: 187 meV/atom
# calculated formation energy: -0.2 eV per formula unit
# E_tot: -8.29 eV/atom
# total magnetic moment: 0.00 μB/cell
data_Sc2RhW
_space_group_name_H-M_alt 'P m m m'
_space_group_IT_number 47
_space_group_name_Hall '-P 2 2'
_cell_length_a 3.247
_cell_length_b 4.355
_cell_length_c 4.956
_cell_angle_alpha 90.00
_cell_angle_beta 90.00
_cell_angle_gamma 90.00
loop_
_atom_site_label
_atom_site_type_symbol
_atom_site_fract_x
_atom_site_fract_y
_atom_site_fract_z
Sc1 Sc 0.000 0.000 0.000
Sc2 Sc 0.500 0.000 0.500
Rh1 Rh 0.000 0.500 0.500
W1 W 0.500 0.500 0.000



# GGA-PBE YScRh, relaxed
# excess energy over the best structure of this formula in the dataset: 0 meV/atom
# calculated formation energy: -2.0 eV per formula unit
# E_tot: -7.39 eV/atom
# total magnetic moment: 0.00 μB/cell
data_YScRh
_space_group_name_H-M_alt 'P -6 2 m'
_space_group_IT_number 189
_space_group_name_Hall 'P -6 -2'
_cell_length_a 7.1210
_cell_length_b 7.1210
_cell_length_c 4.5271
_cell_angle_alpha 90.00
_cell_angle_beta 90.00
_cell_angle_gamma 120.00
loop_
_atom_site_label
_atom_site_type_symbol
_atom_site_fract_x
_atom_site_fract_y
_atom_site_fract_z
Y1 Y 0.0000 0.4116 0.0000
Sc1 Sc 0.0000 0.7436 0.5000
Rh1 Rh 0.0000 0.0000 0.0000
Rh2 Rh 0.3333 0.6667 0.5000



# GGA-PBE Y4Sc3Rh2, relaxed
# calculated formation energy: -3.8 eV per formula unit
# E_tot: -7.04 eV/atom
# total magnetic moment: 0.00 μB/cell
data_Y4Sc3Rh2
_space_group_name_H-M_alt 'C 1 2/m 1'
_space_group_IT_number 12
_space_group_name_Hall '-C 2y'
_cell_length_a 16.211
_cell_length_b 3.664
_cell_length_c 8.386
_cell_angle_alpha 90.00
_cell_angle_beta 112.47
_cell_angle_gamma 90.00
loop_
_atom_site_label
_atom_site_type_symbol
_atom_site_fract_x
_atom_site_fract_y
_atom_site_fract_z
Y1 Y 0.115 0.000 0.380
Y2 Y 0.231 0.500 0.166
Sc1 Sc 0.000 0.500 0.000
Sc2 Sc 0.072 0.500 0.687
Rh1 Rh 0.113 0.000 0.935



# GGA-PBE Y3ScRh2, relaxed
# excess energy over the best structure of this formula in the dataset: 26 meV/atom
# calculated formation energy: -3.3 eV per formula unit
# E_tot: -7.29 eV/atom
# total magnetic moment: 0.00 μB/cell
data_Y3ScRh2
_space_group_name_H-M_alt 'I b a m'
_space_group_IT_number 72
_space_group_name_Hall '-I 2 2c'
_cell_length_a 6.585
_cell_length_b 13.323
_cell_length_c 7.103
_cell_angle_alpha 90.00
_cell_angle_beta 90.00
_cell_angle_gamma 90.00
loop_
_atom_site_label
_atom_site_type_symbol
_atom_site_fract_x
_atom_site_fract_y
_atom_site_fract_z
Y1 Y 0.000 0.000 0.250
Y2 Y 0.000 0.273 0.250
Sc1 Sc 0.000 0.500 0.000
Rh1 Rh 0.218 0.135 0.000



# GGA-PBE YScRh2, relaxed
# calculated formation energy: -3.6 eV per formula unit
# E_tot: -7.78 eV/atom
# total magnetic moment: 0.00 μB/cell
data_YScRh2
_space_group_name_H-M_alt 'P 4/m m m'
_space_group_IT_number 123
_space_group_name_Hall '-P 4 2'
_cell_length_a 3.269
_cell_length_b 3.269
_cell_length_c 6.933
_cell_angle_alpha 90.00
_cell_angle_beta 90.00
_cell_angle_gamma 90.00
loop_
_atom_site_label
_atom_site_type_symbol
_atom_site_fract_x
_atom_site_fract_y
_atom_site_fract_z
Y1 Y 0.000 0.000 0.000
Sc1 Sc 0.000 0.000 0.500
Rh1 Rh 0.500 0.500 0.270



# GGA-PBE YScRh2, relaxed
# calculated formation energy: -0.5 eV per formula unit
# E_tot: -7.00 eV/atom
# total magnetic moment: 0.00 μB/cell
data_YScRh2
_space_group_name_H-M_alt 'I -4 2 d'
_space_group_IT_number 122
_space_group_name_Hall 'I -4 2bw'
_cell_length_a 4.761
_cell_length_b 4.761
_cell_length_c 16.574
_cell_angle_alpha 90.00
_cell_angle_beta 90.00
_cell_angle_gamma 90.00
loop_
_atom_site_label
_atom_site_type_symbol
_atom_site_fract_x
_atom_site_fract_y
_atom_site_fract_z
Y1 Y 0.000 0.000 0.000
Sc1 Sc 0.000 0.000 0.500
Rh1 Rh 0.121 0.250 0.625



# GGA-PBE YScRh2, relaxed
# calculated formation energy: -1.5 eV per formula unit
# E_tot: -7.25 eV/atom
# total magnetic moment: 0.00 μB/cell
data_YScRh2
_space_group_name_H-M_alt 'F -4 3 m'
_space_group_IT_number 216
_space_group_name_Hall 'F -4 2 3'
_cell_length_a 6.627
_cell_length_b 6.627
_cell_length_c 6.627
_cell_angle_alpha 90.00
_cell_angle_beta 90.00
_cell_angle_gamma 90.00
loop_
_atom_site_label
_atom_site_type_symbol
_atom_site_fract_x
_atom_site_fract_y
_atom_site_fract_z
Y1 Y 0.000 0.000 0.000
Sc1 Sc 0.250 0.250 0.250
Rh1 Rh 0.000 0.000 0.500
Rh2 Rh 0.250 0.250 0.750



Question: total magnetic moment of number 5 (Sc2RhW)?
Answer: 0.00 μB/cell



Question: Look up the calculated formation energy of the seventh one.
Answer: -2.0 eV per formula unit



Copy entry 3 word for word.
# GGA-PBE ScRhW2, relaxed
# excess energy over the best structure of this formula in the dataset: 357 meV/atom
# calculated formation energy: 0.9 eV per formula unit
# E_tot: -9.67 eV/atom
# total magnetic moment: 0.00 μB/cell
data_ScRhW2
_space_group_name_H-M_alt 'R -3 m'
_space_group_IT_number 166
_space_group_name_Hall '-R 3 2"'
_cell_length_a 2.8793
_cell_length_b 2.8793
_cell_length_c 28.0557
_cell_angle_alpha 90.00
_cell_angle_beta 90.00
_cell_angle_gamma 120.00
loop_
_atom_site_label
_atom_site_type_symbol
_atom_site_fract_x
_atom_site_fract_y
_atom_site_fract_z
Sc1 Sc 0.0000 0.0000 0.0000
Rh1 Rh 0.0000 0.0000 0.5000
W1 W 0.0000 0.0000 0.2447